Below is a relaxed structure of CsYNi2, with properties calculated at the PBE-GGA level.

The space group is I-42d (No. 122) and the conventional cell measures 7.783, 7.783 and 7.101 Å, with angles of 90.00, 90.00 and 90.00 degrees. The asymmetric unit holds Cs at (0.000, 0.000, 0.000), Y at (0.000, 0.000, 0.500) and Ni at (0.205, 0.250, 0.625).

The calculation puts the electronic total energy at -0.2955 Ry/atom. For the excess energy over the best structure of this formula in the dataset, the calculation gives 0.0232 eV/atom. Its formation energy from the elements is 0.700 eV/atom. The total magnetization is 0.0 μB per cell.

***

Below is a relaxed structure of Cs2Ba4Ir, with properties calculated at the PBE-GGA level.

The space group is I4/mmm (No. 139) and the conventional cell measures 6.337, 6.337 and 25.502 Å, with angles of 90.00, 90.00 and 90.00 degrees. The asymmetric unit holds Cs at (0.000, 0.000, 0.185), Ba at (0.000, 0.000, 0.384), Ba at (0.000, 0.500, 0.000) and Ir at (0.000, 0.000, 0.500).

The calculation puts the electronic total energy at -0.1912 Ry/atom. Its formation energy from the elements is 0.007 eV/atom. The total magnetization is 0.0 μB per cell.

***

Below is a relaxed structure of LaPmTh2Sb4, with properties calculated at the PBE-GGA level.

The space group is P2/m (No. 10) and the conventional cell measures 7.846, 4.533 and 7.849 Å, with angles of 90.00, 109.53 and 90.00 degrees. The asymmetric unit holds La at (0.000, 0.000, 0.000), Pm at (0.500, 0.500, 0.000), Th at (0.000, 0.500, 0.500), Th at (0.500, 0.000, 0.500), Sb at (0.252, 0.000, 0.748) and Sb at (0.254, 0.500, 0.254).

The calculation puts the electronic total energy at -0.4563 Ry/atom. The uncorrected formation energy comes out at -1.0820 eV/atom. The total magnetization is 0.0 μB per cell.

***

Below is a relaxed structure of OsRu2Br, with properties calculated at the PBE-GGA level.

The space group is I4/mmm (No. 139) and the conventional cell measures 4.119, 4.119 and 7.189 Å, with angles of 90.00, 90.00 and 90.00 degrees. The asymmetric unit holds Os at (0.000, 0.000, 0.000), Ru at (0.000, 0.500, 0.250) and Br at (0.000, 0.000, 0.500).

The calculation puts the electronic total energy at -0.4945 Ry/atom. For the excess energy over the best structure of this formula in the dataset, the calculation gives 0.5098 eV/atom. The uncorrected formation energy comes out at 1.1350 eV/atom. The total magnetization is 0.0 μB per cell.

***

Which of these has the highest electronic total energy?
Cs2Ba4Ir

***

Which value of electronic total energy does entry 3 give?
-0.4563 Ry/atom

***

Which value of electronic total energy does entry 3 give?
-0.4563 Ry/atom